# 1
Crystalline Al2SiOs at its relaxed geometry, computed with PBE.

Output
- Energy: -6.15 eV/atom
- Spin magnetization: 0.00 μB/cell
- Symmetry: P4mm
- Formation energy from raw total energies: -0.115 eV per atom

Cell lengths 2.9226, 2.9226, 7.1015 Å; angles 90.00, 90.00, 90.00 degrees
With the nearest neighbours (Å) after each atom.
Positions (direct):
Al1 0.0000 0.0000 0.0000  4 Si 2.80, 8 Al 2.92-3.00
Al2 0.5000 0.5000 0.3059  4 Os 2.67, 4 Al 2.92
Si1 0.5000 0.5000 0.7344  4 Os 2.47
Os1 0.0000 0.0000 0.5430  4 Si 2.47, 4 Al 2.67

=====

# 2
Crystalline AlSiOs2 at its relaxed geometry, computed with PBE.

Output
- Energy: -8.14 eV/atom
- Spin magnetization: 0.00 μB/cell
- Symmetry: Pmm2
- Formation energy from raw total energies: -0.233 eV per atom

Cell lengths 2.9034, 4.3438, 4.3759 Å; angles 90.00, 90.00, 90.00 degrees
With the nearest neighbours (Å) after each atom.
Positions (direct):
Al1 0.0000 0.0000 0.0000  6 Os 2.54-2.71, 4 Si 2.71
Si1 0.5000 0.5000 0.1689  6 Os 2.53-2.72, 4 Al 2.71
Os1 0.0000 0.5000 0.6951  4 Si 2.53-2.72, 2 Al 2.55, 4 Os 2.78
Os2 0.5000 0.0000 0.4775  4 Al 2.54-2.71, 2 Si 2.56, 4 Os 2.78

=====

# 3
Crystalline Al2SiOs at its relaxed geometry, computed with PBE.

Output
- Energy: -5.91 eV/atom
- Spin magnetization: 0.00 μB/cell
- Symmetry: Cmm2
- Formation energy from raw total energies: 0.127 eV per atom

Cell lengths 2.8677, 2.8677, 8.3162 Å; angles 90.00, 90.00, 116.81 degrees
With the nearest neighbours (Å) after each atom.
Positions (direct):
Al1 0.0000 0.0000 0.0000  2 Si 2.61, 6 Al 2.72-2.87
Al2 0.5000 0.5000 0.2725  2 Os 2.55, 2 Al 2.72
Si1 0.5000 0.5000 0.7428  2 Os 2.39, 2 Al 2.61
Os1 0.0000 0.0000 0.5198  2 Si 2.39, 2 Al 2.55